(1)
PBE Dy9Y4Ho11, relaxed; total magnetization = 0.00 μB/f.u.; raw total energy = -116.27 eV per cell
1.0
3.5167 0.0000 0.0000
0.0000 14.3269 -3.1346
0.0000 2.7478 14.4061
Dy Ho Y
9 11 4
Direct
0.5000 0.3769 0.8696
0.5000 0.8696 0.3769
0.5000 0.9641 0.7938
0.5000 0.7938 0.9641
0.5000 0.2062 0.0359
0.5000 0.1304 0.6231
0.5000 0.6231 0.1304
0.5000 0.5000 0.5000
0.5000 0.0359 0.2062
0.0000 0.7594 0.7594
0.0000 0.8295 0.1705
0.0000 0.5856 0.9224
0.0000 0.3438 0.6562
0.0000 0.4144 0.0776
0.0000 0.1705 0.8295
0.0000 0.0000 0.0000
0.0000 0.2406 0.2406
0.0000 0.9224 0.5856
0.0000 0.0776 0.4144
0.0000 0.6562 0.3438
0.5000 0.5528 0.7220
0.5000 0.4472 0.2780
0.5000 0.7220 0.5528
0.5000 0.2780 0.4472


(2)
PBE Dy4Y7Ho, relaxed; total magnetization = 0.00 μB/f.u.; raw total energy = -67.16 eV per cell
1.0
2.7055 5.6843 -2.5700
-1.3549 3.9845 4.9681
10.1649 5.2134 2.5795
Y Ho Dy
7 1 4
Direct
0.8016 0.5133 0.9496
0.9437 0.6823 0.3613
0.7218 0.1897 0.3866
0.5000 0.0000 0.0000
0.2782 0.8103 0.6134
0.0563 0.3177 0.6387
0.1984 0.4867 0.0504
0.0000 0.0000 0.0000
0.5287 0.6418 0.2834
0.3118 0.1614 0.3076
0.6882 0.8386 0.6924
0.4713 0.3582 0.7166


(3)
PBE DyY10Ho4, relaxed; total magnetization = 0.00 μB/f.u.; raw total energy = -76.57 eV per cell
1.0
7.0005 0.0000 3.1610
3.5002 8.5917 1.5805
-0.0355 0.0000 9.4109
Y Ho Dy
10 4 1
Direct
0.9503 0.8993 0.6999
0.6502 0.3001 0.8993
0.5495 0.1007 0.3001
0.3498 0.6999 0.1007
0.2500 0.5000 0.5000
0.1504 0.3001 0.8993
0.8496 0.6999 0.1007
0.4505 0.8993 0.6999
0.0497 0.1007 0.3001
0.7500 0.5000 0.5000
0.6003 0.1994 0.5999
0.2003 0.4001 0.1994
0.3997 0.8006 0.4001
0.7997 0.5999 0.8006
0.0000 0.0000 0.0000